Compound: YSbRh2
Source: the Alexandria database
Functional: SCAN
Structure: PBEsol geometry

Values from the calculation:
As for the crystal system: tetragonal. As for the total energy: -33.880 eV per atom. The total magnetization is 0.000 μB/atom.

a b c (Å): 3.962 3.962 5.338
angles (deg): 111.79 111.79 90.00
Sites, in units of the cell vectors:
1 Y 0.250 0.750 0.500
2 Rh 0.750 0.250 0.500
3 Sb 0.500 0.500 0.000
4 Rh 0.000 0.000 0.000